Computed, not measured: a geometry-optimized K3In5Hg12 structure at the PBE level of DFT. Values from VASP.

- DOS(E_F) (states/eV per cell) = 38.13
- formation energy (eV per atom) = 0.020
- theoretical density (kg/m³) = 6450
- space group = Ia-3d (230)

Structure (Quantum ESPRESSO input):
```
&SYSTEM
  ibrav = 0, nat = 80, ntyp = 3
/
ATOMIC_SPECIES
Hg 200.59 Hg.upf
In 114.82 In.upf
K 39.10 K.upf
CELL_PARAMETERS angstrom
16.064 0.000 0.000
-5.355 15.145 0.000
-5.355 -7.572 13.116
ATOMIC_POSITIONS angstrom
Hg -2.587 3.363 7.244
Hg 0.163 1.459 2.480
In -1.339 12.305 1.639
Hg 6.749 2.482 12.407
Hg 6.711 10.719 4.078
Hg 2.767 10.976 5.849
In -2.677 7.572 0.000
Hg 1.356 1.958 8.353
In 1.339 4.733 11.476
Hg 5.445 -6.767 13.093
Hg -5.518 6.664 6.535
In -1.339 3.786 3.279
Hg 7.942 4.209 5.872
Hg 0.163 12.777 4.054
Hg 9.388 3.146 9.038
Hg 10.619 -3.363 7.244
Hg -0.090 14.340 0.023
In 6.693 6.626 4.918
K 12.048 0.000 3.279
Hg 6.638 8.199 2.504
Hg 4.071 5.718 1.795
Hg 4.071 10.054 0.709
Hg 9.315 0.627 10.612
Hg -1.283 -0.627 10.612
Hg -4.033 4.426 4.078
Hg 2.767 0.805 0.023
In 1.339 -3.786 9.837
In -5.355 3.786 6.558
Hg -4.033 12.677 0.686
Hg 2.514 2.368 4.054
Hg -3.960 6.946 2.504
K 6.693 0.947 4.918
In 0.000 0.000 0.000
In -4.016 8.519 4.918
K -1.339 6.626 8.197
Hg 9.388 -5.104 12.430
In 2.677 3.786 6.558
Hg 2.587 6.767 13.093
Hg 5.191 6.113 10.635
Hg -1.394 5.091 0.709
Hg 2.841 5.205 9.062
In -1.339 0.947 8.197
Hg 3.998 5.614 4.763
In 4.016 11.359 3.279
K -6.693 7.572 9.837
In 9.370 -0.947 8.197
In 6.693 3.786 9.837
Hg 8.195 8.481 6.535
Hg -1.356 5.104 12.430
Hg 5.191 -5.205 9.062
K 9.370 10.412 1.639
Hg 6.711 2.468 0.686
Hg 6.676 -1.958 8.353
In -2.677 -3.786 6.558
In 5.355 7.572 0.000
Hg 1.283 -2.482 12.407
K 1.339 -0.947 4.918
Hg 10.872 0.909 6.581
Hg 2.514 13.686 2.480
K 4.016 0.000 9.837
K 1.339 7.572 3.279
Hg 2.587 -3.404 7.267
Hg 2.841 -6.113 10.635
Hg -5.264 10.936 5.872
Hg -1.356 -3.146 9.038
Hg 6.749 -1.855 11.321
In 4.016 2.840 1.639
Hg -2.841 -0.909 6.581
K 4.016 8.519 8.197
K 9.370 4.733 1.639
Hg 1.283 1.855 11.321
K -4.016 2.840 11.476
K -4.016 -2.840 11.476
Hg -1.394 9.427 1.795
Hg 5.445 3.404 7.267
In 5.355 -3.786 6.558
In 6.693 -4.733 11.476
In 8.032 0.000 0.000
Hg -1.321 9.531 4.763
Hg -0.090 4.169 5.849
```